An optimized crystal structure of NiRu2W. Source: the Alexandria database, functional GGA-PBEsol.

Cell: 3.8246 3.8246 7.2533 Å, 90.00 90.00 90.00°
Last column: nearest neighbours and their distance in Å.
Space group I4/mmm (No. 139)
Asymmetric unit:
Ni  0.0000  0.0000  0.0000 x2  8 Ru 2.64, 4 W 2.70
Ru  0.0000  0.5000  0.2500 x4  4 W 2.64, 4 Ni 2.64, 4 Ru 2.70
W  0.0000  0.0000  0.5000 x2  8 Ru 2.64, 4 Ni 2.70

Values from the calculation:
* DFT formation energy: 29.1 meV per atom
* uncorrected energy: -10.048 eV/atom

---

An optimized crystal structure of Ni2RuW. Source: the Alexandria database, functional GGA-PBEsol.

Cell: 3.6257 3.6257 3.7627 Å, 90.00 90.00 90.00°
Last column: nearest neighbours and their distance in Å.
Space group P4/mmm (No. 123)
Asymmetric unit:
Ni  0.0000  0.5000  0.0000 x2  4 Ni 2.56, 4 W 2.61, 4 Ru 2.61
Ru  0.0000  0.0000  0.5000 x1  4 W 2.56, 8 Ni 2.61
W  0.5000  0.5000  0.5000 x1  4 Ru 2.56, 8 Ni 2.61

Values from the calculation:
* DFT formation energy: -51.2 meV per atom
* uncorrected energy: -9.125 eV/atom

---

An optimized crystal structure of NiRuW2. Source: the Alexandria database, functional GGA-PBEsol.

Cell: 6.0689 6.0689 6.0689 Å, 90.00 90.00 90.00°
Last column: nearest neighbours and their distance in Å.
Space group F-43m (No. 216)
Asymmetric unit:
Ni  0.0000  0.0000  0.0000 x4  4 W 2.63, 4 Ru 2.63
Ru  0.2500  0.2500  0.2500 x4  4 W 2.63, 4 Ni 2.63
W  0.0000  0.0000  0.5000 x4  4 Ru 2.63, 4 W 2.63
W  0.2500  0.2500  0.7500 x4  4 W 2.63, 4 Ni 2.63

Values from the calculation:
* DFT formation energy: 221.9 meV per atom
* uncorrected energy: -10.764 eV/atom

---

An optimized crystal structure of Ni2RuW. Source: the Alexandria database, functional GGA-PBEsol.

Cell: 2.6715 4.1531 4.4687 Å, 90.00 90.00 90.00°
Last column: nearest neighbours and their distance in Å.
Space group Pmm2 (No. 25)
Asymmetric unit:
Ni  0.0000  0.0000  0.0000 x1  4 Ni 2.50-2.67, 4 W 2.57-2.63, 4 Ru 2.58
Ni  0.0000  0.5000  0.3122 x1  4 Ni 2.50-2.67, 4 Ru 2.54-2.67, 4 W 2.60
Ru  0.5000  0.5000  0.8294 x1  8 Ni 2.54-2.67, 2 W 2.57, 2 Ru 2.67
W  0.5000  0.0000  0.4918 x1  2 Ru 2.57, 8 Ni 2.57-2.63, 2 W 2.67

Values from the calculation:
* DFT formation energy: -5.2 meV per atom
* uncorrected energy: -9.079 eV/atom

---

An optimized crystal structure of NiRu2W. Source: the Alexandria database, functional GGA-PBEsol.

Cell: 3.7199 3.7199 7.6378 Å, 90.00 90.00 90.00°
Last column: nearest neighbours and their distance in Å.
Space group I-4m2 (No. 119)
Asymmetric unit:
Ni  0.0000  0.0000  0.0000 x2  8 Ru 2.63-2.67, 4 W 2.67
Ru  0.0000  0.0000  0.5000 x2  4 Ni 2.63, 4 W 2.67, 4 Ru 2.67
Ru  0.0000  0.5000  0.7500 x2  4 W 2.63, 4 Ni 2.67, 4 Ru 2.67
W  0.0000  0.5000  0.2500 x2  8 Ru 2.63-2.67, 4 Ni 2.67

Values from the calculation:
* DFT formation energy: 29.5 meV per atom
* uncorrected energy: -10.048 eV/atom

---

An optimized crystal structure of NiRu2W. Source: the Alexandria database, functional GGA-PBEsol.

Cell: 3.7956 3.7956 3.6514 Å, 90.00 90.00 90.00°
Last column: nearest neighbours and their distance in Å.
Space group P4/mmm (No. 123)
Asymmetric unit:
Ni  0.0000  0.0000  0.0000 x1  8 Ru 2.63, 4 W 2.68
Ru  0.0000  0.5000  0.5000 x2  4 W 2.63, 4 Ni 2.63, 4 Ru 2.68
W  0.5000  0.5000  0.0000 x1  8 Ru 2.63, 4 Ni 2.68

Values from the calculation:
* DFT formation energy: -40.7 meV per atom
* uncorrected energy: -10.118 eV/atom

---

An optimized crystal structure of Ni2RuW. Source: the Alexandria database, functional GGA-PBEsol.

Cell: 8.5878 2.6177 4.5108 Å, 90.00 99.47 90.00°
Last column: nearest neighbours and their distance in Å.
Space group Cm (No. 8)
Asymmetric unit:
Ni  0.0000  0.0000  0.0000 x2  4 W 2.56-2.66, 5 Ni 2.56-2.62, 3 Ru 2.56-2.63
Ni  0.2468  0.5000  0.2309 x2  4 Ru 2.54-2.68, 5 Ni 2.56-2.62, 3 W 2.60-2.61
Ru  0.2565  0.0000  0.7522 x2  7 Ni 2.54-2.68, 3 W 2.54-2.70, 2 Ru 2.62
W  0.4953  0.0000  0.4857 x2  3 Ru 2.54-2.70, 7 Ni 2.56-2.66, 2 W 2.62

Values from the calculation:
* DFT formation energy: 56.8 meV per atom
* uncorrected energy: -9.017 eV/atom

---

An optimized crystal structure of NiRuW2. Source: the Alexandria database, functional GGA-PBEsol.

Cell: 2.7326 3.7741 5.3585 Å, 90.00 90.00 90.00°
Last column: nearest neighbours and their distance in Å.
Space group Pmmm (No. 47)
Asymmetric unit:
Ni  0.0000  0.0000  0.0000 x1  2 Ru 2.68, 8 W 2.68, 2 Ni 2.73
Ru  0.0000  0.0000  0.5000 x1  2 Ni 2.68, 8 W 2.69, 2 Ru 2.73
W  0.5000  0.5000  0.2482 x2  4 W 2.66-2.73, 4 Ni 2.68, 4 Ru 2.69

Values from the calculation:
* DFT formation energy: 45.8 meV per atom
* uncorrected energy: -10.940 eV/atom

---

An optimized crystal structure of NiRuW2. Source: the Alexandria database, functional GGA-PBEsol.

Cell: 3.8010 3.8010 3.8053 Å, 90.00 90.00 90.00°
Last column: nearest neighbours and their distance in Å.
Space group P4/mmm (No. 123)
Asymmetric unit:
Ni  0.0000  0.0000  0.0000 x1  4 Ru 2.69, 8 W 2.69
Ru  0.5000  0.5000  0.0000 x1  4 Ni 2.69, 8 W 2.69
W  0.0000  0.5000  0.5000 x2  4 W 2.69, 4 Ru 2.69, 4 Ni 2.69

Values from the calculation:
* DFT formation energy: -0.1 meV per atom
* uncorrected energy: -10.986 eV/atom

---

An optimized crystal structure of Ni4RuW. Source: the Alexandria database, functional GGA-PBEsol.

Cell: 6.5102 6.5102 6.5102 Å, 90.00 90.00 90.00°
Last column: nearest neighbours and their distance in Å.
Space group F-43m (No. 216)
Asymmetric unit:
Ni  0.1253  0.1253  0.1253 x16  6 Ni 2.30-2.31
Ru  0.0000  0.0000  0.5000 x4  12 Ni 2.70, 4 W 2.82
W  0.2500  0.2500  0.7500 x4  12 Ni 2.70, 4 Ru 2.82

Values from the calculation:
* DFT formation energy: -30.4 meV per atom
* uncorrected energy: -8.132 eV/atom

---

An optimized crystal structure of Ni2RuW. Source: the Alexandria database, functional GGA-PBEsol.

Cell: 3.6801 3.6801 7.3421 Å, 90.00 90.00 90.00°
Last column: nearest neighbours and their distance in Å.
Space group I-4m2 (No. 119)
Asymmetric unit:
Ni  0.0000  0.0000  0.0000 x2  4 Ni 2.60, 4 Ru 2.60, 4 W 2.60
Ni  0.0000  0.5000  0.2500 x2  4 W 2.60, 4 Ni 2.60, 4 Ru 2.60
Ru  0.0000  0.5000  0.7500 x2  4 W 2.60, 8 Ni 2.60
W  0.0000  0.0000  0.5000 x2  8 Ni 2.60, 4 Ru 2.60

Values from the calculation:
* DFT formation energy: -55.9 meV per atom
* uncorrected energy: -9.130 eV/atom

---

An optimized crystal structure of NiRuW2. Source: the Alexandria database, functional GGA-PBEsol.

Cell: 3.8075 3.8075 7.5968 Å, 90.00 90.00 90.00°
Last column: nearest neighbours and their distance in Å.
Space group I4/mmm (No. 139)
Asymmetric unit:
Ni  0.0000  0.0000  0.0000 x2  8 W 2.69, 4 Ru 2.69
Ru  0.0000  0.0000  0.5000 x2  8 W 2.69, 4 Ni 2.69
W  0.0000  0.5000  0.2500 x4  4 Ru 2.69, 4 Ni 2.69, 4 W 2.69

Values from the calculation:
* DFT formation energy: 9.1 meV per atom
* uncorrected energy: -10.977 eV/atom

---

| no. | ρ (Mg/m³) |
| --- | --- |
| 1 | 13.9 |
| 2 | 13.5 |
| 3 | 15.7 |
| 4 | 13.5 |
| 5 | 14.0 |
| 6 | 14.0 |
| 7 | 13.4 |
| 8 | 15.8 |
| 9 | 15.9 |
| 10 | 12.5 |
| 11 | 13.4 |
| 12 | 15.9 |